This record from Alexandria via LeMat-Bulk describes an optimized crystal structure of Mg2ScAg. The functional is PBE.

Unit cell a=3.1319 b=4.9037 c=5.6229 alpha=90.00 beta=99.54 gamma=90.00
Last column: nearest neighbours and their distance in Å.
Space group P2/m (No. 10)
One atom of each set of equivalent atoms:
Mg 0.1560 0.0000 0.2607 [2 per cell]  2 Ag 2.88, 5 Mg 2.93-3.16, 2 Sc 3.14
Sc 0.5000 0.5000 0.0000 [1 per cell]  2 Ag 2.98, 2 Sc 3.13, 4 Mg 3.14
Ag 0.0000 0.5000 0.5000 [1 per cell]  4 Mg 2.88, 2 Sc 2.98, 2 Ag 3.13

## Properties
Formation energy from the elements ... -0.06 eV per atom
Total energy ... -3.157 eV/atom
V ... 85.16 Å³/f.u.